No. 1
DFT (PBE) results for a relaxed structure of PuAlTl2O6.

The uncorrected formation energy comes out at -1844 meV per atom.

It has space group R-3m (No. 166, hexagonal axes), with a = 5.9549 Å, b = 5.9549 Å, c = 28.9276 Å, α = 90.00°, β = 90.00° and γ = 120.00°. The distinct sites, in fractional coordinates, are Pu at (0.0000, 0.0000, 0.0936), Al at (0.0000, 0.0000, 0.0000), Al at (0.0000, 0.0000, 0.5000), Tl at (0.0000, 0.0000, 0.2166), Tl at (0.0000, 0.0000, 0.3642), O at (0.0099, 0.5050, 0.2044) and O at (0.0479, 0.5240, 0.6229).

***

No. 2
DFT (PBE) results for a relaxed structure of Pu3AlTl2O12.

The uncorrected formation energy comes out at -2215 meV per atom.

It has space group R-3m (No. 166, hexagonal axes), with a = 7.8369 Å, b = 7.8369 Å, c = 17.1884 Å, α = 90.00°, β = 90.00° and γ = 120.00°. The distinct sites, in fractional coordinates, are Pu at (0.0000, 0.5000, 0.0000), Al at (0.0000, 0.0000, 0.5000), Tl at (0.0000, 0.0000, 0.1459), O at (0.0827, 0.5413, 0.3660) and O at (0.0997, 0.5499, 0.1050).

***

No. 3
DFT (PBE) results for a relaxed structure of TmPuAl2O8.

The uncorrected formation energy comes out at -2646 meV per atom.

It has space group I-4m2 (No. 119), with a = 6.819 Å, b = 6.819 Å, c = 6.420 Å, α = 90.00°, β = 90.00° and γ = 90.00°. The distinct sites, in fractional coordinates, are Tm at (0.000, 0.000, 0.000), Pu at (0.000, 0.500, 0.250), Al at (0.000, 0.000, 0.500), Al at (0.000, 0.500, 0.750), O at (0.000, 0.195, 0.317) and O at (0.000, 0.318, 0.943).

***

No. 4
DFT (PBE) results for a relaxed structure of PuUAlO6.

The uncorrected formation energy comes out at -3013 meV per atom.

It has space group P-31c (No. 163), with a = 5.3080 Å, b = 5.3080 Å, c = 9.8501 Å, α = 90.00°, β = 90.00° and γ = 120.00°. The distinct sites, in fractional coordinates, are Pu at (0.0000, 0.0000, 0.0000), U at (0.3333, 0.6667, 0.2500), Al at (0.3333, 0.6667, 0.7500) and O at (0.0254, 0.3652, 0.6401).